Material: NaV6O15
Method: DFT, PBE+U
State: relaxed

```
data_NaV6O15
_chemical_formula_sum 'Na2 V12 O30'
_symmetry_space_group_name_H-M 'C 1 m 1'
_symmetry_Int_Tables_number 8
_cell_length_a 15.7573
_cell_length_b 3.6652
_cell_length_c 10.2779
_cell_angle_alpha 90.00
_cell_angle_beta 110.61
_cell_angle_gamma 90.00
loop_
_symmetry_equiv_pos_as_xyz
'x,y,z'
'x,-y,z'
'x+1/2,y+1/2,z'
'x+1/2,-y+1/2,z'
loop_
_atom_site_label
_atom_site_type_symbol
_atom_site_fract_x
_atom_site_fract_y
_atom_site_fract_z
_atom_site_occupancy
Na1 Na 0.0000 0.0000 0.0000 1
V1 V 0.1157 0.0000 0.7164 1
V2 V 0.1617 0.5000 0.4978 1
V3 V 0.2144 0.5000 0.1930 1
V4 V 0.2867 0.0000 0.0114 1
V5 V 0.3363 0.0000 0.7041 1
V6 V 0.3811 0.5000 0.4872 1
O1 O 0.9997 0.0000 0.5995 1
O2 O 0.0628 0.5000 0.3795 1
O3 O 0.1040 0.5000 0.1252 1
O4 O 0.1069 0.0000 0.8708 1
O5 O 0.1326 0.5000 0.6745 1
O6 O 0.1841 0.0000 0.5485 1
O7 O 0.2349 0.5000 0.3811 1
O8 O 0.2431 0.0000 0.1769 1
O9 O 0.2569 0.5000 0.0305 1
O10 O 0.2607 0.0000 0.8257 1
O11 O 0.3131 0.5000 0.6559 1
O12 O 0.3665 0.0000 0.5293 1
O13 O 0.3839 0.5000 0.3302 1
O14 O 0.3966 0.0000 0.0710 1
O15 O 0.4352 0.0000 0.8315 1
```

Values from the calculation:
V   12.6 Å³/atom
ΔE to the lowest computed polymorph   6 meV per atom
Calculated density   3399 kg/m3
Total DFT energy (no corrections)   -7.32 eV per atom